Compound: AlRuBr2
Source: Alexandria via LeMat-Bulk
Functional: PBE
Structure: relaxed

```
AlRuBr2
1.0
3.7393 0.0000 0.0000
0.0000 3.2535 0.0000
-1.1033 0.0000 7.9123
Al Ru Br
1 1 2
Cartesian
0.0000 0.0000 0.0000
1.8769 1.6267 0.6948
0.0632 1.6267 6.1040
1.9022 0.0000 2.6739
```

Calculated values
Total moment: 0.8 Bohr magnetons per cell
Space group: Pm (6)
Energy relative to the lowest polymorph listed for this composition: 0.000 eV per atom
Density of states at the Fermi level: 1.772 states/eV/f.u.
Formation energy from raw total energies: -4.8 kcal/mol of atoms